(1)
Here is a relaxed Tb5YSc6 crystal from Alexandria via LeMat-Bulk. Energies are from PBE.

Lattice parameters (Å, degrees): 5.9395 5.9395 11.1364 95.08 95.08 119.95
Atoms (fractional coordinates):
Tb 0.0000 0.0000 0.0000
Tb 0.1667 0.8333 0.5000
Tb 0.3333 0.6667 0.0000
Tb 0.6667 0.3333 0.0000
Tb 0.8333 0.1667 0.5000
Y 0.5000 0.5000 0.5000
Sc 0.0828 0.4170 0.2497
Sc 0.2487 0.2487 0.7503
Sc 0.4170 0.0828 0.2497
Sc 0.5830 0.9172 0.7503
Sc 0.7513 0.7513 0.2497
Sc 0.9172 0.5830 0.7503

Output
Calculated formation energy in kJ/mol of formula units: 68
Uncorrected energy in eV/cell: -66.900

***

(2)
Here is a relaxed Tb2Y5Sc2 crystal from Alexandria via LeMat-Bulk. Energies are from PBE.

Lattice parameters (Å, degrees): 10.2665 10.2665 10.2665 74.58 118.07 142.69
Atoms (fractional coordinates):
Tb 0.0000 0.0000 0.0000
Tb 0.0000 0.5000 0.5000
Tb 0.1901 0.9576 0.7324
Tb 0.2252 0.4576 0.2676
Y 0.0581 0.5200 0.8446
Y 0.0581 0.7135 0.0382
Y 0.4635 0.2620 0.3101
Y 0.4635 0.6534 0.7015
Y 0.6022 0.4735 0.6287
Y 0.6754 0.0200 0.9618
Y 0.6754 0.2135 0.1554
Y 0.8447 0.9735 0.3713
Y 0.9519 0.1534 0.6899
Y 0.9519 0.7620 0.2985
Sc 0.4455 0.5604 0.0521
Sc 0.4455 0.8934 0.3851
Sc 0.5082 0.0604 0.6149
Sc 0.5082 0.3934 0.9479

Output
Calculated formation energy in kJ/mol of formula units: 220
Excess energy over the best structure of this formula in the dataset in meV per atom: 231.7
Uncorrected energy in eV/cell: -103.918

***

(3)
Here is a relaxed Tb8Y3Sc crystal from Alexandria via LeMat-Bulk. Energies are from PBE.

Lattice parameters (Å, degrees): 9.3915 9.3915 9.3915 131.87 131.87 70.44
Atoms (fractional coordinates):
Tb 0.1231 0.1231 0.4899
Tb 0.1231 0.6332 0.0000
Tb 0.3668 0.3668 0.4899
Tb 0.3668 0.8769 0.0000
Tb 0.6332 0.1231 0.0000
Tb 0.6332 0.6332 0.5101
Tb 0.8769 0.3668 0.0000
Tb 0.8769 0.8769 0.5101
Y 0.2500 0.7500 0.5000
Y 0.5000 0.5000 0.0000
Y 0.7500 0.2500 0.5000
Sc 0.0000 0.0000 0.0000

Output
Calculated formation energy in kJ/mol of formula units: 857
Uncorrected energy in eV/cell: -53.881